# Sr3Nd2Ga2Pt4 (GGA-PBE, optimized geometry)
# Formation energy from the elements = -0.793 eV/atom
# Raw total energy = -4.865 eV per atom
# Theoretical density = 8.1 g cm⁻³
# Space-group type = No. 164
data_Sr3Nd2Ga2Pt4
_cell_length_a 4.379
_cell_length_b 4.379
_cell_length_c 18.240
_cell_angle_alpha 90.00
_cell_angle_beta 90.00
_cell_angle_gamma 120.00
_space_group_name_H-M_alt 'P 1'
_space_group_IT_number 1
_space_group_name_Hall 'P 1'
loop_
_atom_site_label
_atom_site_type_symbol
_atom_site_fract_x
_atom_site_fract_y
_atom_site_fract_z
Sr1 Sr 0.000 0.000 0.755
Sr2 Sr 0.000 0.000 0.000
Sr3 Sr 0.000 0.000 0.245
Nd1 Nd 0.667 0.333 0.422
Nd2 Nd 0.333 0.667 0.578
Ga1 Ga 0.667 0.333 0.877
Ga2 Ga 0.333 0.667 0.123
Pt1 Pt 0.667 0.333 0.121
Pt2 Pt 0.333 0.667 0.879
Pt3 Pt 0.667 0.333 0.649
Pt4 Pt 0.333 0.667 0.351